Entry 1:
MnPtI2, optimized geometry, DFT PBE; formation energy from raw total energies = 1.0887 eV per atom; energy relative to the lowest polymorph listed for this composition = 424 meV per atom; N(E_F) = 6.71 states/eV/cell; size of the total moment = 0.06 μB per cell
1.0
0.0000 3.4456 3.4456
3.4456 0.0000 3.4456
3.4456 3.4456 0.0000
Mn Pt I
1 1 2
Direct
0.0000 0.0000 0.0000 Mn
0.5000 0.5000 0.5000 Pt
0.2500 0.2500 0.2500 I
0.7500 0.7500 0.7500 I

=====

Entry 2:
YHg3Mo, optimized geometry, DFT PBE; energy relative to the lowest polymorph listed for this composition = 0 meV per atom; N(E_F) = 5.33 states/eV/cell; size of the total moment = 0.00 μB per cell
1.0
5.1958 0.0000 0.0000
0.0000 5.1958 0.0000
0.0000 0.0000 5.1958
Y Hg Mo
1 3 1
Direct
0.0000 0.0000 0.0000 Y
0.0000 0.5000 0.5000 Hg
0.5000 0.0000 0.5000 Hg
0.5000 0.5000 0.0000 Hg
0.5000 0.5000 0.5000 Mo

=====

Entry 3:
MgBe2Tc2, optimized geometry, DFT PBE; energy relative to the lowest polymorph listed for this composition = 0 meV per atom; N(E_F) = 9.90 states/eV/cell; size of the total moment = 0.00 μB per cell
1.0
6.1797 0.0000 0.0000
0.0000 6.1797 0.0000
0.0000 0.0000 3.1657
Mg Be Tc
2 4 4
Direct
0.0000 0.0000 0.0000 Mg
0.5000 0.5000 0.0000 Mg
0.1183 0.3817 0.0000 Be
0.3817 0.8817 0.0000 Be
0.6183 0.1183 0.0000 Be
0.8817 0.6183 0.0000 Be
0.1699 0.6699 0.5000 Tc
0.3301 0.1699 0.5000 Tc
0.6699 0.8301 0.5000 Tc
0.8301 0.3301 0.5000 Tc

=====

Entry 4:
Pr6TlOs, optimized geometry, DFT PBE; E = -42.093 eV per formula unit; N(E_F) = 9.75 states/eV/cell; size of the total moment = 0.00 μB per cell
1.0
4.0718 -5.3143 0.0000
4.0718 5.3143 0.0000
-1.7461 0.0000 6.5462
Pr Tl Os
6 1 1
Direct
0.0536 0.6855 0.7142 Pr
0.2841 0.2841 0.8500 Pr
0.3145 0.9464 0.2858 Pr
0.6855 0.0536 0.7142 Pr
0.7159 0.7159 0.1500 Pr
0.9464 0.3145 0.2858 Pr
0.5000 0.5000 0.5000 Tl
0.0000 0.0000 0.0000 Os

=====

Entry 5:
Pa3GeSb2, optimized geometry, DFT PBE; formation energy from raw total energies = -0.4536 eV per atom; N(E_F) = 17.58 states/eV/cell; size of the total moment = 0.00 μB per cell
1.0
3.7041 -6.4115 0.0000
3.7041 6.4115 0.0000
-2.4700 0.0000 7.0197
Pa Ge Sb
6 2 4
Direct
0.0736 0.4203 0.7635 Pa
0.2272 0.2272 0.2274 Pa
0.4203 0.0736 0.7635 Pa
0.5797 0.9264 0.2365 Pa
0.7728 0.7728 0.7726 Pa
0.9264 0.5797 0.2365 Pa
0.1690 0.8310 0.0000 Ge
0.8310 0.1690 0.0000 Ge
0.0000 0.0000 0.5000 Sb
0.3414 0.6586 0.5000 Sb
0.5000 0.5000 0.0000 Sb
0.6586 0.3414 0.5000 Sb

=====

Entry 6:
PrC2IO6, optimized geometry, DFT PBE; formation energy from raw total energies = -1.7303 eV per atom; N(E_F) = 0.00 states/eV/cell; size of the total moment = 0.00 μB per cell
1.0
4.7982 -4.7542 0.0000
4.7982 4.7542 0.0000
-4.3326 0.0000 6.6575
Pr C I O
2 4 2 12
Direct
0.0734 0.9266 0.7500 Pr
0.9266 0.0734 0.2500 Pr
0.1132 0.3974 0.7761 C
0.3974 0.1132 0.2761 C
0.6026 0.8868 0.7239 C
0.8868 0.6026 0.2239 C
0.3984 0.6016 0.2500 I
0.6016 0.3984 0.7500 I
0.0389 0.2168 0.6137 O
0.1125 0.5846 0.7787 O
0.1865 0.3579 0.9401 O
0.2168 0.0389 0.1137 O
0.3579 0.1865 0.4401 O
0.4154 0.8875 0.7213 O
0.5846 0.1125 0.2787 O
0.6421 0.8135 0.5599 O
0.7832 0.9611 0.8863 O
0.8135 0.6421 0.0599 O
0.8875 0.4154 0.2213 O
0.9611 0.7832 0.3863 O

=====

Entry 7:
PaFeH2, optimized geometry, DFT PBE; E = -24.591 eV per formula unit; N(E_F) = 4.35 states/eV/cell; size of the total moment = 0.77 μB per cell
1.0
1.4889 0.8596 5.2011
-1.4889 0.8596 5.2011
0.0000 -1.7192 5.2011
Pa Fe H
1 1 2
Direct
0.0000 0.0000 0.0000 Pa
0.5000 0.5000 0.5000 Fe
0.2158 0.2158 0.2158 H
0.7842 0.7842 0.7842 H

=====

Entry 8:
Pm12TcGe7, optimized geometry, DFT PBE; E = -106.749 eV per formula unit; N(E_F) = 21.18 states/eV/cell; size of the total moment = 0.00 μB per cell
1.0
7.2256 4.1717 3.2997
-7.2256 4.1717 3.2997
0.0000 -8.3434 3.2997
Pm Tc Ge
12 1 7
Direct
0.0225 0.3513 0.1144 Pm
0.1144 0.0225 0.3513 Pm
0.1733 0.7251 0.5725 Pm
0.2749 0.4275 0.8267 Pm
0.3513 0.1144 0.0225 Pm
0.4275 0.8267 0.2749 Pm
0.5725 0.1733 0.7251 Pm
0.6487 0.8856 0.9775 Pm
0.7251 0.5725 0.1733 Pm
0.8267 0.2749 0.4275 Pm
0.8856 0.9775 0.6487 Pm
0.9775 0.6487 0.8856 Pm
0.5000 0.5000 0.5000 Tc
0.0000 0.0000 0.0000 Ge
0.1824 0.3886 0.4702 Ge
0.3886 0.4702 0.1824 Ge
0.4702 0.1824 0.3886 Ge
0.5298 0.8176 0.6114 Ge
0.6114 0.5298 0.8176 Ge
0.8176 0.6114 0.5298 Ge

=====

Copy entry 5 word for word.
Pa3GeSb2, optimized geometry, DFT PBE; formation energy from raw total energies = -0.4536 eV per atom; N(E_F) = 17.58 states/eV/cell; size of the total moment = 0.00 μB per cell
1.0
3.7041 -6.4115 0.0000
3.7041 6.4115 0.0000
-2.4700 0.0000 7.0197
Pa Ge Sb
6 2 4
Direct
0.0736 0.4203 0.7635 Pa
0.2272 0.2272 0.2274 Pa
0.4203 0.0736 0.7635 Pa
0.5797 0.9264 0.2365 Pa
0.7728 0.7728 0.7726 Pa
0.9264 0.5797 0.2365 Pa
0.1690 0.8310 0.0000 Ge
0.8310 0.1690 0.0000 Ge
0.0000 0.0000 0.5000 Sb
0.3414 0.6586 0.5000 Sb
0.5000 0.5000 0.0000 Sb
0.6586 0.3414 0.5000 Sb